First-principles (GGA-PBE) data for a geometry-optimized SnBP2Ir structure, as listed in the Alexandria database.

Structure (extended XYZ):
```
5
Lattice="-4.168 1.031 1.044 -1.918 -4.704 -3.014 0.305 -2.466 3.654" Properties=species:S:1:pos:R:3 pbc="T T T"
P -2.084 0.515 0.522
Ir 0.000 0.000 0.000
P 0.153 -1.233 1.827
B -2.890 -3.070 0.842
Sn -0.959 -2.352 -1.507
```

Calculated values
Its spin magnetization is 0.0 μB/cell. The density of states at the Fermi level comes out at 3.07 states/eV per cell. As for the space group: P4/mmm, No. 123. The value obtained for the energy is -4.862 eV per atom.



First-principles (GGA-PBE) data for a geometry-optimized TbBPIr6 structure, as listed in the Alexandria database.

Structure (extended XYZ):
```
18
Lattice="8.452 0.000 0.000 0.000 6.212 0.000 -4.226 -3.106 5.612" Properties=species:S:1:pos:R:3 pbc="T T T"
Ir 4.226 1.553 1.791
P 4.226 3.106 0.000
Ir 2.304 3.236 1.366
Ir 0.000 1.553 3.821
Tb 4.226 1.553 4.954
Ir 2.304 -0.130 1.366
Ir 1.922 -0.130 4.246
Ir 6.149 3.236 1.366
Ir -1.922 -0.130 4.246
Ir -1.922 3.236 4.246
Tb 0.000 1.553 0.658
Ir 4.226 -1.553 3.362
B -2.113 -1.553 2.806
Ir 0.000 4.659 2.250
Ir 6.149 -0.130 1.366
P 4.226 0.000 0.000
Ir 1.922 3.236 4.246
B 2.113 -1.553 2.806
```

Calculated values
Its spin magnetization is 0.0 μB/cell. The density of states at the Fermi level comes out at 15.66 states/eV per cell. As for the space group: Imma, No. 74. The value obtained for the energy is -7.811 eV per atom.



First-principles (GGA-PBE) data for a geometry-optimized ThBPIr6 structure, as listed in the Alexandria database.

Structure (extended XYZ):
```
18
Lattice="6.908 0.000 0.000 0.000 8.101 0.000 -3.454 -4.051 5.522" Properties=species:S:1:pos:R:3 pbc="T T T"
P -1.727 -2.025 2.761
Ir 1.506 -0.184 4.126
B 3.454 0.000 0.000
Ir 0.000 6.076 1.190
Ir 4.960 4.235 1.396
Ir 0.000 2.025 4.927
Ir 1.948 -0.184 1.396
B 3.454 4.051 0.000
Ir 3.454 -2.025 4.332
Ir -1.506 4.235 4.126
Ir -1.506 -0.184 4.126
Th 3.454 2.025 3.639
Ir 3.454 2.025 0.596
Th 0.000 2.025 1.883
P 1.727 -2.025 2.761
Ir 4.960 -0.184 1.396
Ir 1.506 4.235 4.126
Ir 1.948 4.235 1.396
```

Calculated values
Its spin magnetization is 0.0 μB/cell. The density of states at the Fermi level comes out at 15.75 states/eV per cell. As for the space group: Imma, No. 74. The value obtained for the energy is -8.225 eV per atom.



First-principles (GGA-PBE) data for a geometry-optimized Ti2BPIr structure, as listed in the Alexandria database.

Structure (extended XYZ):
```
5
Lattice="-3.816 -2.253 1.926 2.354 -3.567 0.492 1.339 1.491 4.397" Properties=species:S:1:pos:R:3 pbc="T T T"
P 1.177 -1.783 0.246
Ir 0.000 0.000 0.000
Ti 0.670 0.745 2.198
B -0.061 -2.164 3.408
Ti -1.908 -1.126 0.963
```

Calculated values
Its spin magnetization is 0.0 μB/cell. The density of states at the Fermi level comes out at 4.57 states/eV per cell. As for the space group: P4/mmm, No. 123. The value obtained for the energy is -6.348 eV per atom.



First-principles (GGA-PBE) data for a geometry-optimized Pa2B2Ir3 structure, as listed in the Alexandria database.

Structure (extended XYZ):
```
7
Lattice="3.592 0.000 0.000 -1.796 4.906 -0.235 0.000 -2.554 6.221" Properties=species:S:1:pos:R:3 pbc="T T T"
Ir 0.000 2.227 3.250
Ir 1.796 0.000 0.000
B 0.000 0.883 1.382
Pa 1.796 2.976 1.134
Pa 0.000 -0.624 4.852
B 1.796 1.470 4.604
Ir 1.796 0.125 2.736
```

Calculated values
Its spin magnetization is 0.0 μB/cell. The density of states at the Fermi level comes out at 5.25 states/eV per cell. As for the space group: C2/m, No. 12. The value obtained for the energy is -8.957 eV per atom.



First-principles (GGA-PBE) data for a geometry-optimized PaBIr structure, as listed in the Alexandria database.

Structure (extended XYZ):
```
3
Lattice="-2.113 3.032 1.066 -2.958 -2.348 0.816 2.599 0.852 2.729" Properties=species:S:1:pos:R:3 pbc="T T T"
Ir -1.458 -0.776 1.631
B -0.352 0.506 0.178
Pa -0.662 1.807 2.802
```

Calculated values
The value obtained for the distance to the lowest polymorph of the same formula is 38 meV per atom. Its spin magnetization is 0.0 μB/cell. The density of states at the Fermi level comes out at 3.42 states/eV per cell. As for the space group: P-6m2, No. 187. The value obtained for the energy is -8.902 eV per atom.



First-principles (GGA-PBE) data for a geometry-optimized Pa2B3Ir structure, as listed in the Alexandria database.

Structure (extended XYZ):
```
12
Lattice="5.284 0.269 0.000 0.064 5.290 0.000 -2.674 -2.780 6.275" Properties=species:S:1:pos:R:3 pbc="T T T"
Ir 0.000 0.000 4.134
B 1.196 4.201 0.906
Pa 3.969 4.126 0.000
B 1.477 -1.421 5.369
B 0.000 0.000 1.792
B 2.674 2.780 4.483
Pa 1.379 1.433 0.000
Ir 2.674 2.780 2.141
B -1.477 1.421 5.369
B 4.151 1.359 0.906
Pa 0.032 2.645 3.137
Pa 2.642 0.135 3.137
```

Calculated values
Its spin magnetization is 0.0 μB/cell. The density of states at the Fermi level comes out at 8.98 states/eV per cell. As for the space group: Fmmm, No. 69. The value obtained for the energy is -8.572 eV per atom.



First-principles (GGA-PBE) data for a geometry-optimized PaB3Ir3 structure, as listed in the Alexandria database.

Structure (extended XYZ):
```
14
Lattice="5.891 0.000 0.000 0.000 5.891 0.000 0.000 0.000 5.891" Properties=species:S:1:pos:R:3 pbc="T T T"
B 0.000 2.946 1.473
B 4.418 0.000 2.946
Ir 4.418 2.946 0.000
Ir 2.946 0.000 1.473
Ir 1.473 2.946 0.000
Ir 0.000 1.473 2.946
B 2.946 1.473 0.000
B 2.946 4.418 0.000
Ir 2.946 0.000 4.418
B 0.000 2.946 4.418
B 1.473 0.000 2.946
Ir 0.000 4.418 2.946
Pa 0.000 0.000 0.000
Pa 2.946 2.946 2.946
```

Calculated values
The value obtained for the distance to the lowest polymorph of the same formula is 193 meV per atom. Its spin magnetization is 2.8 μB/cell. The density of states at the Fermi level comes out at 17.42 states/eV per cell. As for the space group: Pm-3n, No. 223. The value obtained for the energy is -8.221 eV per atom.



First-principles (GGA-PBE) data for a geometry-optimized Pa2B4Ir5 structure, as listed in the Alexandria database.

Structure (extended XYZ):
```
11
Lattice="5.482 0.000 0.000 2.741 4.941 -0.572 2.741 0.599 5.530" Properties=species:S:1:pos:R:3 pbc="T T T"
Ir 6.839 3.891 0.395
Ir 4.125 3.891 0.395
B 2.741 0.682 1.194
Ir 2.741 2.770 2.479
Ir 6.839 1.648 4.563
B 2.741 2.200 0.367
Pa 5.482 1.390 1.772
Pa 5.482 4.149 3.186
Ir 4.125 1.648 4.563
B 8.223 3.339 4.590
B 8.223 4.857 3.764
```

Calculated values
Its spin magnetization is 0.0 μB/cell. The density of states at the Fermi level comes out at 3.48 states/eV per cell. As for the space group: C2/m, No. 12. The value obtained for the energy is -8.772 eV per atom.



First-principles (GGA-PBE) data for a geometry-optimized PaBIr2 structure, as listed in the Alexandria database.

Structure (extended XYZ):
```
16
Lattice="3.884 0.000 0.000 -1.942 7.816 0.000 0.000 0.000 8.358" Properties=species:S:1:pos:R:3 pbc="T T T"
Ir 0.000 1.737 6.268
Ir 1.942 6.789 6.268
Ir 0.000 1.027 2.089
Pa 1.942 0.000 0.000
Ir 0.000 4.785 3.542
Ir 1.942 3.031 4.816
B 0.000 2.209 0.067
Ir 0.000 4.785 0.637
Pa 0.000 4.773 6.268
Pa 1.942 3.043 2.089
B 1.942 5.607 8.291
B 0.000 2.209 4.112
Ir 1.942 3.031 7.721
Pa 1.942 0.000 4.179
Ir 1.942 6.079 2.089
B 1.942 5.607 4.246
```

Calculated values
The value obtained for the distance to the lowest polymorph of the same formula is 0 meV per atom. Its spin magnetization is 0.0 μB/cell. The density of states at the Fermi level comes out at 13.00 states/eV per cell. As for the space group: Cmcm, No. 63. The value obtained for the energy is -9.097 eV per atom.



First-principles (GGA-PBE) data for a geometry-optimized PaB2Ir3 structure, as listed in the Alexandria database.

Structure (extended XYZ):
```
12
Lattice="5.624 0.000 0.000 2.812 4.870 0.000 2.812 1.623 6.611" Properties=species:S:1:pos:R:3 pbc="T T T"
Pa 2.812 1.623 2.633
Ir 5.624 4.878 5.198
Pa 8.436 4.870 3.978
B 2.812 0.000 0.000
B 0.000 0.000 0.000
Ir 5.624 1.615 1.413
B 4.218 2.435 0.000
Ir 7.037 4.063 1.413
Ir 7.037 2.431 5.198
Ir 4.211 2.431 5.198
Ir 4.211 4.063 1.413
B 1.406 2.435 0.000
```

Calculated values
Its spin magnetization is 0.0 μB/cell. The density of states at the Fermi level comes out at 10.50 states/eV per cell. As for the space group: R-3m, No. 166. The value obtained for the energy is -8.444 eV per atom.



First-principles (GGA-PBE) data for a geometry-optimized Pa2B7Ir12 structure, as listed in the Alexandria database.

Structure (extended XYZ):
```
21
Lattice="3.877 0.000 0.000 0.000 7.820 -4.515 0.000 0.000 9.030" Properties=species:S:1:pos:R:3 pbc="T T T"
Ir 0.015 3.892 6.172
B 1.941 4.800 2.187
B 1.941 3.526 -1.451
B 0.026 0.190 6.908
B 0.026 5.888 5.411
Ir 0.015 0.529 4.799
Ir 1.953 6.899 1.495
B 0.026 1.742 1.225
Ir 0.015 2.022 -0.905
Ir 0.015 6.026 3.217
Ir 1.956 1.542 3.114
Ir 0.015 7.593 -2.312
Pa 1.957 0.000 0.000
Ir 0.014 3.399 2.574
Ir 1.956 1.925 6.137
Ir 1.953 5.665 -2.208
Pa 0.013 5.213 0.000
B 3.577 2.607 4.515
Ir 1.953 3.076 0.712
Ir 1.956 4.352 4.294
B 1.941 7.314 -0.736
```

Calculated values
Its spin magnetization is 0.0 μB/cell. The density of states at the Fermi level comes out at 6.13 states/eV per cell. As for the space group: P3, No. 143. The value obtained for the energy is -8.652 eV per atom.